[1]
NdHo2Pt | PBE | relaxed

The calculation puts the excess energy over the best structure of this formula in the dataset at 138.9 meV per atom. Its spin magnetization is 0.00 μB per formula unit. The value obtained for the formation energy is -2.22 eV per formula unit.

It has space group R3m (No. 160, hexagonal axes), with a = 3.9586 Å, b = 3.9586 Å, c = 27.0109 Å, α = 90.00°, β = 90.00° and γ = 120.00°. Symmetry generates all atoms from Nd at (0.0000, 0.0000, 0.0000), Ho at (0.0000, 0.0000, 0.5567), Ho at (0.0000, 0.0000, 0.7718) and Pt at (0.0000, 0.0000, 0.1637).

---

[2]
PmPaAlZn | PBE | relaxed

Its spin magnetization is 0.80 μB per formula unit. The value obtained for the formation energy is -0.18 eV per formula unit.

It has space group F-43m (No. 216), with a = 7.2390 Å, b = 7.2390 Å, c = 7.2390 Å, α = 90.00°, β = 90.00° and γ = 90.00°. Symmetry generates all atoms from Pm at (0.0000, 0.0000, 0.0000), Pa at (0.0000, 0.0000, 0.5000), Al at (0.2500, 0.2500, 0.2500) and Zn at (0.2500, 0.2500, 0.7500).

---

[3]
Na8Sr3Ca | PBE | relaxed

Its spin magnetization is 0.00 μB per formula unit. The value obtained for the formation energy is 0.23 eV per formula unit.

It has space group R3m (No. 160, hexagonal axes), with a = 7.0920 Å, b = 7.0920 Å, c = 34.1783 Å, α = 90.00°, β = 90.00° and γ = 120.00°. Symmetry generates all atoms from Na at (0.0000, 0.0000, 0.0000), Na at (0.0000, 0.0000, 0.4993), Na at (0.9998, 0.4999, 0.7508), Na at (0.1675, 0.3350, 0.5818), Sr at (0.0000, 0.0000, 0.1855), Sr at (0.0000, 0.0000, 0.3122), Sr at (0.0000, 0.0000, 0.6889) and Ca at (0.0000, 0.0000, 0.8125).

---

[4]
TaAs2PdRu | PBE | relaxed

Its spin magnetization is 0.00 μB per formula unit. The value obtained for the formation energy is 5.30 eV per formula unit.

It has space group P4/mmm (No. 123), with a = 4.5795 Å, b = 4.5795 Å, c = 4.9457 Å, α = 90.00°, β = 90.00° and γ = 90.00°. Symmetry generates all atoms from Ta at (0.0000, 0.0000, 0.0000), As at (0.0000, 0.5000, 0.5000), Pd at (0.5000, 0.5000, 0.0000) and Ru at (0.5000, 0.5000, 0.5000).

---

[5]
Y3Si2Ni2 | PBE | relaxed

Its formation energy (no corrections) is -0.723 eV/atom. The calculation puts the excess energy over the best structure of this formula in the dataset at 0.0 meV per atom. Its spin magnetization is 0.00 μB per formula unit.

It has space group Pbcm (No. 57), with a = 5.5513 Å, b = 7.7300 Å, c = 12.5067 Å, α = 90.00°, β = 90.00° and γ = 90.00°. Symmetry generates all atoms from Y at (0.1305, 0.1080, 0.1030), Y at (0.3654, 0.7490, 0.7500), Si at (0.1601, 0.0979, 0.7500), Si at (0.3608, 0.7500, 0.0000) and Ni at (0.3831, 0.0348, 0.5881).

---

[6]
SrAcSn2Pd5 | PBE | relaxed

Its spin magnetization is 0.00 μB per formula unit. The value obtained for the formation energy is -6.32 eV per formula unit.

It has space group P4/mmm (No. 123), with a = 4.7241 Å, b = 4.7241 Å, c = 9.1461 Å, α = 90.00°, β = 90.00° and γ = 90.00°. Symmetry generates all atoms from Sr at (0.0000, 0.0000, 0.0000), Ac at (0.0000, 0.0000, 0.5000), Sn at (0.5000, 0.5000, 0.1609), Pd at (0.0000, 0.5000, 0.2889) and Pd at (0.5000, 0.5000, 0.5000).

---

[7]
NaPa2GaO8 | PBE | relaxed

Its formation energy (no corrections) is -2.189 eV/atom. Its spin magnetization is 2.00 μB per formula unit.

It has space group P-3m1 (No. 164), with a = 5.0735 Å, b = 5.0735 Å, c = 7.5320 Å, α = 90.00°, β = 90.00° and γ = 120.00°. Symmetry generates all atoms from Na at (0.0000, 0.0000, 0.0000), Pa at (0.3333, 0.6667, 0.3450), Ga at (0.0000, 0.0000, 0.5000), O at (0.1764, 0.3527, 0.6487) and O at (0.3333, 0.6667, 0.0971).

---

[8]
Pr4NdMg | PBE | relaxed

The calculation puts the excess energy over the best structure of this formula in the dataset at 29.0 meV per atom. Its spin magnetization is 0.00 μB per formula unit. The value obtained for the formation energy is 0.01 eV per formula unit.

It has space group C2/c (No. 15), with a = 10.9131 Å, b = 6.3253 Å, c = 12.2994 Å, α = 90.00°, β = 107.24° and γ = 90.00°. Symmetry generates all atoms from Pr at (0.0809, 0.2426, 0.9996), Pr at (0.1675, 0.4196, 0.7502), Nd at (0.2500, 0.2500, 0.5000) and Mg at (0.0000, 0.0826, 0.2500).

---

The density of states at the Fermi level results, record by record, are as follows: 11.36, 22.61, 30.93, 11.27, 23.16, 4.95, 2.42, 29.19 states/eV per cell.